--- 1 ---
The following is a DFT calculation (PBE) of crystalline BeI at its relaxed geometry.

Cell and atoms, written as POSCAR:
```
BeI
1.0
-0.723 -5.629 -2.217
5.960 -1.047 0.715
-1.042 -2.084 5.630
Be I
4 4
Direct
0.250 0.250 0.250
0.250 0.750 0.750
0.750 0.250 0.750
0.750 0.750 0.250
0.000 0.000 0.000
0.000 0.500 0.500
0.500 0.000 0.500
0.500 0.500 0.000
```

--- 2 ---
The following is a DFT calculation (PBE) of crystalline BeI at its relaxed geometry.

Cell and atoms, written as POSCAR:
```
BeI
1.0
3.889 0.021 -0.002
-0.018 3.896 0.002
-1.941 -1.949 2.951
I Be
1 1
Direct
0.800 0.196 0.699
0.238 0.628 0.571
```

--- 3 ---
The following is a DFT calculation (PBE) of crystalline BeI at its relaxed geometry.

Cell and atoms, written as POSCAR:
```
BeI
1.0
-7.773 -7.451 -11.028
1.978 -3.369 0.882
-4.917 -1.682 4.602
Be I
6 6
Direct
0.936 0.651 0.478
0.564 0.349 0.978
0.064 0.651 0.478
0.436 0.349 0.978
0.000 0.148 0.474
0.500 0.852 0.974
0.834 0.244 0.386
0.666 0.756 0.886
0.166 0.244 0.386
0.334 0.756 0.886
0.000 0.409 0.799
0.500 0.591 0.299
```

Least stable of them? 1.

--- 1 ---
The following is a DFT calculation (PBE) of crystalline BeI at its relaxed geometry.

Cell and atoms, written as POSCAR:
```
BeI
1.0
9.448 0.000 0.000
0.000 9.448 0.000
0.000 0.000 5.253
Be I
8 8
Direct
0.338 0.850 0.000
0.662 0.150 0.000
0.150 0.338 0.000
0.850 0.662 0.000
0.838 0.350 0.500
0.162 0.650 0.500
0.650 0.838 0.500
0.350 0.162 0.500
0.389 0.199 0.000
0.611 0.801 0.000
0.801 0.389 0.000
0.199 0.611 0.000
0.889 0.699 0.500
0.111 0.301 0.500
0.301 0.889 0.500
0.699 0.111 0.500
```

--- 2 ---
The following is a DFT calculation (PBE) of crystalline BeI at its relaxed geometry.

Cell and atoms, written as POSCAR:
```
BeI
1.0
-3.646 0.757 -0.083
-0.329 -2.151 -5.168
-3.432 -15.791 6.789
Be I
6 6
Direct
0.000 0.187 0.559
0.500 0.813 0.941
0.500 0.813 0.059
0.000 0.187 0.441
0.000 0.655 0.000
0.500 0.345 0.500
0.000 0.752 0.844
0.500 0.248 0.656
0.500 0.248 0.344
0.000 0.752 0.156
0.000 0.782 0.500
0.500 0.218 0.000
```

--- 3 ---
The following is a DFT calculation (PBE) of crystalline BeI at its relaxed geometry.

Cell and atoms, written as POSCAR:
```
BeI
1.0
7.985 0.000 0.000
0.000 7.985 0.000
0.000 0.000 7.985
Be I
8 8
Direct
0.100 0.100 0.100
0.100 0.900 0.900
0.900 0.100 0.900
0.900 0.900 0.100
0.600 0.600 0.600
0.600 0.400 0.400
0.400 0.600 0.400
0.400 0.400 0.600
0.276 0.276 0.276
0.276 0.724 0.724
0.724 0.276 0.724
0.724 0.724 0.276
0.776 0.776 0.776
0.776 0.224 0.224
0.224 0.776 0.224
0.224 0.224 0.776
```

Least stable of them? 1.

--- 1 ---
The following is a DFT calculation (PBE) of crystalline BeI2 at its relaxed geometry.

Cell and atoms, written as POSCAR:
```
BeI2
1.0
7.789 0.052 0.101
2.375 7.418 -0.101
-4.867 -4.027 4.558
Be I
2 4
Direct
0.000 0.750 0.750
0.000 0.250 0.250
0.909 0.106 0.803
0.302 0.606 0.697
0.698 0.394 0.303
0.091 0.894 0.197
```

--- 2 ---
The following is a DFT calculation (PBE) of crystalline BeI2 at its relaxed geometry.

Cell and atoms, written as POSCAR:
```
BeI2
1.0
-2.711 -3.186 12.428
-8.670 -4.819 -10.044
11.773 -5.666 1.116
Be I
16 32
Direct
0.562 0.374 0.110
0.514 0.874 0.312
0.360 0.874 0.562
0.188 0.126 0.986
0.938 0.126 0.140
0.390 0.626 0.938
0.236 0.626 0.688
0.812 0.374 0.264
0.688 0.126 0.640
0.736 0.626 0.438
0.890 0.626 0.188
0.062 0.374 0.764
0.312 0.374 0.610
0.860 0.874 0.812
0.014 0.874 0.062
0.438 0.126 0.486
0.539 0.502 0.298
0.454 0.002 0.289
0.548 0.002 0.713
0.211 0.998 0.046
0.787 0.998 0.952
0.202 0.498 0.961
0.296 0.498 0.537
0.963 0.502 0.204
0.711 0.998 0.452
0.796 0.498 0.461
0.702 0.498 0.037
0.039 0.502 0.704
0.463 0.502 0.798
0.048 0.002 0.789
0.954 0.002 0.213
0.287 0.998 0.546
0.617 0.234 0.117
0.367 0.734 0.367
0.133 0.266 0.133
0.383 0.766 0.883
0.633 0.266 0.633
0.883 0.766 0.383
0.117 0.234 0.617
0.867 0.734 0.867
0.375 0.250 0.953
0.547 0.750 0.125
0.203 0.750 0.625
0.875 0.250 0.297
0.875 0.250 0.797
0.703 0.750 0.625
0.047 0.750 0.125
0.375 0.250 0.453
```

--- 3 ---
The following is a DFT calculation (PBE) of crystalline BeI2 at its relaxed geometry.

Cell and atoms, written as POSCAR:
```
BeI2
1.0
-3.527 1.551 0.008
-2.595 -1.101 -2.621
-3.923 -4.162 5.375
Be I
1 2
Direct
0.000 0.000 0.000
0.461 0.279 0.800
0.539 0.721 0.200
```

Least stable of them? 3.

--- 1 ---
The following is a DFT calculation (PBE) of crystalline Be3InI at its relaxed geometry.

Cell and atoms, written as POSCAR:
```
Be3InI
1.0
-1.945 1.781 -4.044
-4.316 -1.713 1.322
-0.948 4.148 2.282
I Be In
1 3 1
Direct
0.000 0.000 0.000
0.000 0.500 0.000
0.000 0.000 0.500
0.500 0.000 0.000
0.500 0.500 0.500
```

--- 2 ---
The following is a DFT calculation (PBE) of crystalline Be3InI at its relaxed geometry.

Cell and atoms, written as POSCAR:
```
Be3InI
1.0
-4.569 1.415 -0.044
-0.105 -0.192 4.779
1.411 4.566 0.214
I Be In
1 3 1
Direct
0.500 0.500 0.500
0.000 0.500 0.000
0.000 0.000 0.500
0.500 0.000 0.000
0.000 0.000 0.000
```

Least stable of them? 1.

--- 1 ---
The following is a DFT calculation (PBE) of crystalline BeInI2 at its relaxed geometry.

Cell and atoms, written as POSCAR:
```
BeInI2
1.0
-0.213 -5.319 1.666
-4.337 -1.810 3.005
-3.709 -3.489 -2.278
I Be In
2 1 1
Direct
0.250 0.250 0.250
0.750 0.750 0.750
0.000 0.000 0.000
0.500 0.500 0.500
```

--- 2 ---
The following is a DFT calculation (PBE) of crystalline BeInI2 at its relaxed geometry.

Cell and atoms, written as POSCAR:
```
BeInI2
1.0
-0.179 7.454 0.383
-4.027 0.226 -6.283
-6.458 3.592 -0.167
I Be In
4 2 2
Direct
0.503 0.125 0.250
0.247 0.625 0.250
0.375 0.497 0.750
0.875 0.753 0.750
0.500 0.500 0.000
0.250 0.750 0.500
0.000 0.000 0.000
0.750 0.250 0.500
```

Least stable of them? 1.

--- 1 ---
The following is a DFT calculation (PBE) of crystalline BeIn3I at its relaxed geometry.

Cell and atoms, written as POSCAR:
```
BeIn3I
1.0
-5.837 1.730 -1.772
-1.941 -6.014 0.523
-1.538 1.024 6.066
I Be In
1 1 3
Direct
0.000 0.000 0.000
0.500 0.500 0.500
0.000 0.500 0.000
0.000 0.000 0.500
0.500 0.000 0.000
```

--- 2 ---
The following is a DFT calculation (PBE) of crystalline BeIn3I at its relaxed geometry.

Cell and atoms, written as POSCAR:
```
BeIn3I
1.0
5.153 0.000 0.000
0.000 5.153 0.000
0.000 0.000 5.153
I Be In
1 1 3
Direct
0.500 0.500 0.500
0.000 0.000 0.000
0.000 0.500 0.000
0.000 0.000 0.500
0.500 0.000 0.000
```

Least stable of them? 1.